The following is a DFT calculation (PBE with a Hubbard U) of MnZnO2 after structural relaxation.

Results
The density of states at the Fermi level is 0.023 states/eV per atom. Its electronic total energy is -24.0 eV/f.u.

Unit cell a=5.6519 b=3.1174 c=10.8157 alpha=90.00 beta=90.00 gamma=90.00
Closest atoms and distances in Å follow each position.
Fractional positions:
O1 0.2338 0.7500 0.4932  3 Zn 2.21-2.32, 3 Mn 2.21-2.26
O2 0.5554 0.7500 0.2926  2 Zn 2.01, 2 Mn 2.06-2.15
O3 0.2662 0.2500 0.9932  3 Zn 2.21-2.32, 3 Mn 2.21-2.26
O4 0.0554 0.7500 0.2074  2 Zn 2.01, 2 Mn 2.06-2.15
O5 0.7662 0.2500 0.5068  3 Zn 2.21-2.32, 3 Mn 2.21-2.26
O6 0.4446 0.2500 0.7074  2 Zn 2.01, 2 Mn 2.06-2.15
O7 0.7338 0.7500 0.0068  3 Zn 2.21-2.32, 3 Mn 2.21-2.26
O8 0.9446 0.2500 0.7926  2 Zn 2.01, 2 Mn 2.06-2.15
Mn1 0.1017 0.2500 0.6207  5 O 2.06-2.26
Mn2 0.6017 0.2500 0.8793  5 O 2.06-2.26
Mn3 0.8983 0.7500 0.3793  5 O 2.06-2.26
Mn4 0.3983 0.7500 0.1207  5 O 2.06-2.26
Zn1 0.4248 0.2500 0.3884  4 O 2.01-2.21
Zn2 0.0752 0.7500 0.8884  4 O 2.01-2.21
Zn3 0.9248 0.2500 0.1116  4 O 2.01-2.21
Zn4 0.5752 0.7500 0.6116  4 O 2.01-2.21